(1)
20
Lattice="7.713 0.000 0.000 0.000 7.532 0.280 0.000 -2.087 9.745" Properties=species:S:1:pos:R:3 comment="PrHo3Os PBE relaxed" e_tot_ev_per_cell=-120.7 ef_ev_per_atom=-0.0885 relative_energy_mev_per_atom=0 magnetic_moment_mub_per_cell=0.00 pbc="T T T"
Ho 2.815 -1.135 8.957
Ho 4.021 0.126 6.193
Ho 1.514 3.252 5.327
Ho 6.199 2.194 4.698
Ho 1.042 -0.092 4.085
Ho 0.165 4.276 8.704
Ho 4.898 6.580 1.068
Ho 5.370 1.150 9.570
Ho 2.343 4.295 0.455
Ho 3.692 5.320 3.832
Ho 6.671 5.537 5.940
Ho 7.548 1.169 1.321
Os 1.913 5.747 6.470
Os 1.944 6.791 1.598
Os 5.769 -1.345 8.428
Os 5.800 -0.302 3.555
Pr 4.098 3.797 7.389
Pr 0.242 0.605 7.508
Pr 3.615 1.649 2.636
Pr 7.471 4.840 2.517

(2)
6
Lattice="-3.439 1.315 -3.962 -5.334 -0.339 0.826 -2.969 4.505 0.381" Properties=species:S:1:pos:R:3 comment="HoRe2 PBE relaxed" e_tot_ev_per_cell=-60.1 ef_ev_per_atom=-0.2003 magnetic_moment_mub_per_cell=0.00 pbc="T T T"
Ho 0.000 0.000 0.000
Ho -2.935 1.370 -0.689
Re -5.854 1.173 -1.912
Re -7.339 3.426 -1.722
Re -4.672 3.595 -2.135
Re -5.619 2.768 0.259

(3)
5
Lattice="4.773 0.000 0.000 0.000 4.773 0.000 0.000 0.000 4.773" Properties=species:S:1:pos:R:3 comment="LaReF3 PBE relaxed" e_tot_ev_per_cell=-31.4 relative_energy_mev_per_atom=0 raw_formation_energy_ev_per_atom=-1.68 magnetic_moment_mub_per_cell=5.00 pbc="T T T"
F 0.000 0.000 2.387
F 0.000 2.387 0.000
F 2.387 0.000 0.000
La 0.000 0.000 0.000
Re 2.387 2.387 2.387

(4)
10
Lattice="-2.966 4.585 2.717 -1.986 -4.508 5.440 7.732 4.200 1.354" Properties=species:S:1:pos:R:3 comment="KNaBi3 PBE relaxed" e_tot_ev_per_cell=-29.5 ef_ev_per_atom=-0.1422 relative_energy_mev_per_atom=0 magnetic_moment_mub_per_cell=0.00 pbc="T T T"
K 4.476 2.653 3.833
K -1.697 1.624 5.677
Bi 2.468 0.106 5.940
Bi 1.910 3.538 6.385
Bi 3.015 6.047 3.357
Bi 0.870 0.739 3.126
Bi 0.311 4.171 3.571
Bi -0.236 -1.770 6.153
Na -1.483 2.293 1.358
Na 0.000 0.000 0.000

(5)
12
Lattice="5.273 0.017 -1.539 -1.474 9.480 -4.938 0.102 -0.827 10.169" Properties=species:S:1:pos:R:3 comment="Ac6La5Pm PBE relaxed" e_tot_ev_per_cell=-53.8 ef_ev_per_atom=0.0208 magnetic_moment_mub_per_cell=0.00 pbc="T T T"
La 3.301 1.313 1.535
La 0.600 7.357 2.156
La 2.564 6.051 -0.937
La 1.337 2.619 4.628
La -0.737 4.740 -2.469
Ac -0.440 8.424 -1.401
Ac 2.270 2.366 -1.998
Ac 3.602 5.003 2.613
Ac 1.631 6.304 5.688
Ac 4.341 0.245 5.092
Ac 0.299 3.666 1.077
Pm 0.000 0.000 0.000

(6)
14
Lattice="-0.623 -0.472 -3.530 3.194 -5.272 1.993 -10.781 -5.532 2.643" Properties=species:S:1:pos:R:3 comment="Sb2AsPd4 PBE relaxed" e_tot_ev_per_cell=-70.3 relative_energy_mev_per_atom=0 raw_formation_energy_ev_per_atom=-0.21 magnetic_moment_mub_per_cell=0.00 pbc="T T T"
As -7.846 -5.439 0.261
As -0.364 -5.838 0.845
Sb -3.438 -4.158 1.163
Sb -4.772 -7.119 -0.057
Sb -8.232 -8.895 0.792
Sb 0.023 -2.382 0.315
Pd -8.509 -6.609 2.386
Pd -5.702 -3.002 -0.444
Pd -0.311 -0.236 -1.765
Pd -2.481 -1.792 0.678
Pd -5.812 -5.225 1.725
Pd -2.398 -6.052 -0.618
Pd -5.728 -9.485 0.429
Pd 0.300 -4.667 -1.280

(7)
3
Lattice="-0.046 -4.946 -2.187 3.587 -3.708 1.623 -1.632 -4.239 2.935" Properties=species:S:1:pos:R:3 comment="SmEuPb PBE relaxed" e_tot_ev_per_cell=-19.6 ef_ev_per_atom=-0.2935 relative_energy_mev_per_atom=22 magnetic_moment_mub_per_cell=7.89 pbc="T T T"
Pb 0.477 -3.223 0.593
Eu 0.955 -6.446 1.185
Sm 0.000 0.000 0.000

(8)
8
Lattice="-3.005 -1.603 2.097 -2.774 -2.462 -5.859 4.354 -4.731 2.625" Properties=species:S:1:pos:R:3 comment="Tm2HfNpAs4 PBE relaxed" e_tot_ev_per_cell=-59.7 ef_ev_per_atom=-1.1624 magnetic_moment_mub_per_cell=3.96 pbc="T T T"
As 2.607 -4.161 0.556
As -1.027 -3.032 -3.790
As -1.119 -2.530 0.278
As -0.307 -6.266 -1.416
Tm 0.790 -3.597 -1.617
Tm 0.674 -3.167 2.361
Hf 0.000 0.000 0.000
Np -2.890 -2.032 -1.881

(9)
7
Lattice="-1.654 1.973 3.493 -6.408 0.513 -0.585 -1.533 -4.319 4.514" Properties=species:S:1:pos:R:3 comment="Be2TlF4 PBE relaxed" e_tot_ev_per_cell=-34.5 raw_formation_energy_ev_per_atom=-2.46 magnetic_moment_mub_per_cell=0.00 pbc="T T T"
Be -5.212 -0.423 4.585
Be -4.383 -1.409 2.838
F -4.966 0.033 3.095
F -2.926 -1.532 2.249
F -6.669 -0.300 5.173
F -4.630 -1.866 4.327
Tl -0.827 0.987 1.747

(10)
3
Lattice="2.977 0.000 0.000 -1.488 2.578 0.000 0.000 0.000 6.813" Properties=species:S:1:pos:R:3 comment="TaBeIn PBE relaxed" e_tot_ev_per_cell=-16.8 ef_ev_per_atom=0.4901 relative_energy_mev_per_atom=211 magnetic_moment_mub_per_cell=0.00 pbc="T T T"
Ta 0.000 1.719 4.714
Be 0.000 0.000 6.759
In 1.488 0.859 2.153

(11)
5
Lattice="-4.094 -2.221 -1.605 2.394 -4.304 -0.150 -1.024 -0.694 3.571" Properties=species:S:1:pos:R:3 comment="Na2HPdPb PBE relaxed" e_tot_ev_per_cell=-15.5 relative_energy_mev_per_atom=0 magnetic_moment_mub_per_cell=0.00 pbc="T T T"
Na 1.197 -2.152 -0.075
Na -2.047 -1.111 -0.803
Pd -0.512 -0.347 1.785
H 0.000 0.000 0.000
Pb -1.362 -3.610 0.908

(12)
5
Lattice="-3.258 2.394 2.640 -1.598 -4.178 1.817 3.185 0.353 3.612" Properties=species:S:1:pos:R:3 comment="RbFe3Pb PBE relaxed" e_tot_ev_per_cell=-18.3 ef_ev_per_atom=2.3464 relative_energy_mev_per_atom=935 magnetic_moment_mub_per_cell=7.96 pbc="T T T"
Rb 0.000 0.000 0.000
Fe 1.593 0.176 1.806
Fe -0.799 -2.089 0.908
Fe -1.629 1.197 1.320
Pb -0.835 -0.716 4.034

no.,V (Å³/atom)
1,28.5
2,18.6
3,21.8
4,36.3
5,40.6
6,19.9
7,37.3
8,22.7
9,22.7
10,17.4
11,18.3
12,22.5